[1]
DFT (GGA-PBE) results for UNi2B after structural relaxation.

calculated volume	12.83	Å³ per atom
total moment	1.29	μB per formula unit
energy relative to the elements	-0.19	eV per atom
symmetry	Cmcm (63)

POSCAR file:
```
UNi2B
1.0
3.732 0.000 0.000
-1.866 4.586 0.000
0.000 0.000 5.996
U Ni B
2 4 2
Direct
0.934 0.867 0.250
0.066 0.133 0.750
0.346 0.692 0.550
0.654 0.308 0.450
0.346 0.692 0.950
0.654 0.308 0.050
0.782 0.563 0.750
0.218 0.437 0.250
```

---

[2]
DFT (GGA-PBE) results for SmAl4Cu2 after structural relaxation.

ΔE to the lowest computed polymorph	0.000	eV per atom
calculated volume	17.32	Å³ per atom
total moment	0.00	μB per formula unit
energy relative to the elements	-0.39	eV per atom
symmetry	Pnma (62)

POSCAR file:
```
SmAl4Cu2
1.0
4.099 0.000 0.000
0.000 6.973 0.000
0.000 0.000 16.969
Cu Al Sm
8 16 4
Direct
0.250 0.686 0.540
0.750 0.314 0.460
0.750 0.186 0.960
0.250 0.814 0.040
0.250 0.976 0.763
0.750 0.024 0.237
0.750 0.476 0.737
0.250 0.524 0.263
0.250 0.290 0.697
0.750 0.710 0.303
0.750 0.790 0.803
0.250 0.210 0.197
0.250 0.673 0.690
0.750 0.327 0.310
0.750 0.173 0.810
0.250 0.827 0.190
0.250 0.265 0.537
0.750 0.735 0.463
0.750 0.765 0.963
0.250 0.235 0.037
0.250 0.503 0.406
0.750 0.497 0.594
0.750 0.003 0.094
0.250 0.997 0.906
0.750 0.992 0.618
0.250 0.008 0.382
0.250 0.492 0.882
0.750 0.508 0.118
```

---

[3]
DFT (GGA-PBE) results for RbBiS2Cl after structural relaxation.

ΔE to the lowest computed polymorph	1.322	eV per atom
calculated volume	34.87	Å³ per atom
total moment	0.67	μB per formula unit
symmetry	P4/mmm (123)
uncorrected formation energy	0.689	eV/atom

POSCAR file:
```
RbBiS2Cl
1.0
5.591 0.000 0.000
0.000 5.591 0.000
0.000 0.000 5.577
S Bi Rb Cl
2 1 1 1
Direct
0.000 0.500 0.000
0.500 0.000 0.000
0.500 0.500 0.500
0.000 0.000 0.000
0.000 0.000 0.500
```

---

[4]
DFT (GGA-PBE) results for BaTm2Zn after structural relaxation.

ΔE to the lowest computed polymorph	0.181	eV per atom
calculated volume	32.15	Å³ per atom
total moment	0.18	μB per formula unit
energy relative to the elements	0.17	eV per atom
symmetry	R-3m (166)

POSCAR file:
```
BaTm2Zn
1.0
-1.376 -2.806 1.766
0.401 -3.317 -1.311
9.524 -3.174 6.027
Zn Tm Ba
1 2 1
Direct
0.500 0.500 0.500
0.106 0.106 0.683
0.894 0.894 0.317
0.000 0.000 0.000
```

---

[5]
DFT (GGA-PBE) results for Ti2MnNbH after structural relaxation.

ΔE to the lowest computed polymorph	0.056	eV per atom
calculated volume	13.64	Å³ per atom
total moment	2.04	μB per formula unit
symmetry	P4/mmm (123)

POSCAR file:
```
Ti2MnNbH
1.0
4.284 0.000 0.000
0.000 4.284 0.000
0.000 0.000 3.714
H Nb Mn Ti
1 1 1 2
Direct
0.000 0.000 0.000
0.000 0.000 0.500
0.500 0.500 0.500
0.000 0.500 0.000
0.500 0.000 0.000
```

---

[6]
DFT (GGA-PBE) results for Os2Ru after structural relaxation.

ΔE to the lowest computed polymorph	0.143	eV per atom
calculated volume	14.21	Å³ per atom
total moment	0.00	μB per formula unit
energy relative to the elements	0.12	eV per atom
symmetry	I4/mmm (139)

POSCAR file:
```
Os2Ru
1.0
-3.973 1.717 -4.268
-5.811 1.543 -0.894
5.330 0.212 2.915
Os Ru
2 1
Direct
0.001 0.001 0.000
0.666 0.666 0.000
0.333 0.333 0.000
```

---

[7]
DFT (GGA-PBE) results for Sc2TiInRe after structural relaxation.

calculated volume	22.25	Å³ per atom
total moment	3.01	μB per formula unit
energy relative to the elements	1.32	eV per atom
symmetry	P4/mmm (123)

POSCAR file:
```
Sc2TiInRe
1.0
4.641 0.000 0.000
0.000 5.165 0.000
0.000 0.000 4.641
Sc Re Ti In
2 1 1 1
Direct
0.000 0.000 0.500
0.500 0.000 0.000
0.500 0.500 0.500
0.000 0.000 0.000
0.000 0.500 0.000
```

---

[8]
DFT (GGA-PBE) results for RbErIn2I6 after structural relaxation.

calculated volume	49.20	Å³ per atom
total moment	0.00	μB per formula unit
symmetry	R3 (146)
uncorrected formation energy	-1.032	eV/atom

POSCAR file:
```
RbErIn2I6
1.0
8.644 0.002 0.002
4.324 7.483 0.002
4.324 2.496 7.608
Rb Er In I
1 1 2 6
Direct
0.817 0.817 0.550
0.327 0.327 0.020
0.519 0.519 0.444
0.008 0.008 0.977
0.556 0.234 0.236
0.234 0.974 0.236
0.974 0.556 0.236
0.397 0.693 0.772
0.693 0.138 0.772
0.138 0.397 0.772
```

---

[9]
DFT (GGA-PBE) results for CsTcGe3 after structural relaxation.

ΔE to the lowest computed polymorph	0.000	eV per atom
calculated volume	24.47	Å³ per atom
total moment	0.00	μB per formula unit
energy relative to the elements	0.16	eV per atom
symmetry	Pm-3m (221)

POSCAR file:
```
CsTcGe3
1.0
-1.809 -1.194 4.466
1.038 -4.778 -0.857
4.505 0.621 1.991
Cs Ge Tc
1 3 1
Direct
0.500 0.500 0.500
0.000 0.500 0.000
0.000 0.000 0.500
0.500 0.000 0.000
0.000 0.000 0.000
```

---

[10]
DFT (GGA-PBE) results for Y2GeN after structural relaxation.

calculated volume	21.92	Å³ per atom
total moment	0.00	μB per formula unit
symmetry	I-42d (122)
uncorrected formation energy	-0.911	eV/atom

POSCAR file:
```
Y2GeN
1.0
-5.338 3.656 1.942
0.734 -2.283 6.315
0.016 3.646 4.929
Y Ge N
4 2 2
Direct
0.547 0.125 0.250
0.203 0.625 0.250
0.375 0.453 0.750
0.875 0.797 0.750
0.000 0.000 0.000
0.750 0.250 0.500
0.500 0.500 0.000
0.250 0.750 0.500
```

---

[11]
DFT (GGA-PBE) results for PrMg6Pb6 after structural relaxation.

calculated volume	26.95	Å³ per atom
total moment	0.00	μB per formula unit
energy relative to the elements	-0.11	eV per atom
symmetry	Immm (71)

POSCAR file:
```
PrMg6Pb6
1.0
5.763 0.000 2.517
2.621 7.440 1.855
-0.105 -0.274 8.098
Pr Mg Pb
1 6 6
Direct
0.000 0.000 0.000
0.000 0.500 0.000
0.500 0.500 0.000
0.000 0.000 0.500
0.500 0.000 0.500
0.500 0.746 0.254
0.500 0.254 0.746
0.328 0.672 0.672
0.672 0.328 0.328
0.000 0.338 0.662
0.000 0.662 0.338
0.340 0.160 0.160
0.660 0.840 0.840
```

---

[12]
DFT (GGA-PBE) results for BeNb2Sn after structural relaxation.

ΔE to the lowest computed polymorph	0.191	eV per atom
calculated volume	17.77	Å³ per atom
total moment	0.00	μB per formula unit
energy relative to the elements	0.31	eV per atom
symmetry	I-42d (122)

POSCAR file:
```
BeNb2Sn
1.0
7.161 0.000 0.000
0.000 7.161 0.000
3.580 3.580 2.773
Be Nb Sn
2 4 2
Direct
0.500 0.500 0.000
0.250 0.750 0.500
0.595 0.125 0.250
0.155 0.625 0.250
0.375 0.405 0.750
0.875 0.845 0.750
0.000 0.000 0.000
0.750 0.250 0.500
```